MgMnCo2: relaxed, PBE-GGA.

* size of the total moment: 4.17 μB per formula unit
* calculated total energy: -24.45 eV per cell
* formation enthalpy at 0 K: 0.133 eV/atom

Unit cell a=4.146 b=2.876 c=4.145 alpha=90.00 beta=90.00 gamma=90.00
Atoms (fractional coordinates):
1 Co 0.000 0.125 0.875
2 Co 0.500 0.125 0.375
3 Mg 0.000 0.625 0.375
4 Mn 0.500 0.625 0.875